# LiAsPb2

An optimized crystal structure of LiAsPb2 (PBE, Alexandria via LeMat-Bulk).

Calculated values
magnetic moment = 0.00 μB/f.u.
E_tot = -3.526 eV per atom

a = 3.941 Å, b = 3.941 Å, c = 6.474 Å
α = 90.00°, β = 90.00°, γ = 90.00°
Positions (direct):
1 As 0.500 0.500 0.250
2 Pb 0.000 0.000 0.490
3 Pb 0.000 0.000 0.010
4 Li 0.500 0.500 0.750


# CaTmSn

An optimized crystal structure of CaTmSn (PBE, Alexandria via LeMat-Bulk).

Calculated values
magnetic moment = 0.00 μB/f.u.
E_tot = -3.909 eV per atom

a = 5.171 Å, b = 5.171 Å, c = 5.171 Å
α = 60.00°, β = 60.00°, γ = 60.00°
Positions (direct):
1 Ca 0.500 0.500 0.500
2 Sn 0.250 0.250 0.250
3 Tm 0.000 0.000 0.000


# La4Ag5

An optimized crystal structure of La4Ag5 (PBE, Alexandria via LeMat-Bulk).

Calculated values
magnetic moment = 0.00 μB/f.u.
ΔE to the lowest computed polymorph = 0.00 eV per formula unit

a = 9.330 Å, b = 9.330 Å, c = 6.618 Å
α = 90.00°, β = 90.00°, γ = 60.00°
Positions (direct):
1 La 0.372 0.628 0.750
2 La 0.000 0.000 0.000
3 La 0.628 0.372 0.250
4 La 0.628 0.000 0.750
5 La 0.000 0.372 0.750
6 La 0.000 0.000 0.500
7 La 0.372 0.000 0.250
8 La 0.000 0.628 0.250
9 Ag 0.667 0.667 0.000
10 Ag 0.667 0.667 0.500
11 Ag 0.302 0.698 0.250
12 Ag 0.000 0.302 0.250
13 Ag 0.333 0.333 0.000
14 Ag 0.302 0.000 0.750
15 Ag 0.698 0.000 0.250
16 Ag 0.698 0.302 0.750
17 Ag 0.333 0.333 0.500
18 Ag 0.000 0.698 0.750


# TlTe2Pb2

An optimized crystal structure of TlTe2Pb2 (PBE, Alexandria via LeMat-Bulk).

Calculated values
magnetic moment = 0.00 μB/f.u.
ΔE to the lowest computed polymorph = 0.13 eV per formula unit
uncorrected formation energy = -0.1867 eV per atom

a = 6.009 Å, b = 6.009 Å, c = 6.774 Å
α = 63.67°, β = 63.67°, γ = 90.00°
Positions (direct):
1 Te 0.750 0.250 0.500
2 Te 0.250 0.750 0.500
3 Tl 0.000 0.000 0.000
4 Pb 0.348 0.348 0.304
5 Pb 0.652 0.652 0.696


# CeDyMnAl

An optimized crystal structure of CeDyMnAl (PBE, Alexandria via LeMat-Bulk).

Calculated values
magnetic moment = 2.32 μB/f.u.
E_tot = -5.885 eV per atom

a = 5.081 Å, b = 5.081 Å, c = 5.081 Å
α = 60.00°, β = 60.00°, γ = 60.00°
Each line ends with the local moment (μB).
Positions (direct):
1 Dy 0.250 0.250 0.250  -0.27
2 Al 0.500 0.500 0.500  0.02
3 Mn 0.000 0.000 0.000  3.35
4 Ce 0.750 0.750 0.750  -0.71


# OsSeO2

An optimized crystal structure of OsSeO2 (PBE, Alexandria via LeMat-Bulk).

Calculated values
magnetic moment = 0.49 μB/f.u.
uncorrected formation energy = 0.1539 eV per atom

a = 5.999 Å, b = 5.999 Å, c = 5.986 Å
α = 59.93°, β = 59.93°, γ = 90.00°
Each line ends with the local moment (μB).
Positions (direct):
1 O 0.875 0.155 0.750  -0.01
2 O 0.375 0.095 0.750  -0.01
3 O 0.845 0.625 0.250  -0.01
4 O 0.905 0.125 0.250  -0.01
5 Se 0.500 0.500 0.000  -0.31
6 Se 0.250 0.750 0.500  -0.31
7 Os 0.750 0.250 0.500  0.04
8 Os 0.000 0.000 0.000  0.04


# Ca2NbGe4Ir3

An optimized crystal structure of Ca2NbGe4Ir3 (PBE, Alexandria via LeMat-Bulk).

Calculated values
magnetic moment = 0.00 μB/f.u.
E_tot = -6.450 eV per atom

a = 4.137 Å, b = 4.137 Å, c = 11.088 Å
α = 90.00°, β = 90.00°, γ = 90.00°
Positions (direct):
1 Ir 0.000 0.500 0.126
2 Ir 0.500 0.000 0.874
3 Ir 0.000 0.000 0.500
4 Ca 0.000 0.500 0.753
5 Ca 0.500 0.000 0.247
6 Ge 0.500 0.500 0.000
7 Ge 0.500 0.000 0.647
8 Ge 0.000 0.000 0.000
9 Ge 0.000 0.500 0.353
10 Nb 0.500 0.500 0.500


# NaYTe2Au

An optimized crystal structure of NaYTe2Au (PBE, Alexandria via LeMat-Bulk).

Calculated values
magnetic moment = 0.00 μB/f.u.
uncorrected formation energy = -0.8191 eV per atom

a = 4.857 Å, b = 7.762 Å, c = 8.130 Å
α = 96.82°, β = 90.00°, γ = 90.00°
Positions (direct):
1 Te 0.660 0.715 0.971
2 Te 0.340 0.285 0.029
3 Te 0.660 0.285 0.529
4 Te 0.340 0.715 0.471
5 Au 0.000 0.000 0.500
6 Au 0.000 0.000 0.000
7 Na 0.120 0.500 0.750
8 Na 0.880 0.500 0.250
9 Y 0.497 0.000 0.250
10 Y 0.503 0.000 0.750


# Be4GaRe

An optimized crystal structure of Be4GaRe (PBE, Alexandria via LeMat-Bulk).

Calculated values
magnetic moment = 0.00 μB/f.u.
E_tot = -5.130 eV per atom

a = 4.394 Å, b = 4.394 Å, c = 4.394 Å
α = 60.00°, β = 60.00°, γ = 60.00°
Positions (direct):
1 Be 0.136 0.621 0.621
2 Be 0.621 0.136 0.621
3 Be 0.621 0.621 0.136
4 Be 0.621 0.621 0.621
5 Re 0.250 0.250 0.250
6 Ga 0.000 0.000 0.000


# NaLiCdAs

An optimized crystal structure of NaLiCdAs (PBE, Alexandria via LeMat-Bulk).

Calculated values
magnetic moment = 0.00 μB/f.u.
E_tot = -2.447 eV per atom

a = 4.855 Å, b = 4.855 Å, c = 4.855 Å
α = 60.00°, β = 60.00°, γ = 60.00°
Positions (direct):
1 Cd 0.750 0.750 0.750
2 As 0.250 0.250 0.250
3 Na 0.000 0.000 0.000
4 Li 0.500 0.500 0.500


# Cs2NaTl2In

An optimized crystal structure of Cs2NaTl2In (PBE, Alexandria via LeMat-Bulk).

Calculated values
magnetic moment = 0.00 μB/f.u.
E_tot = -1.834 eV per atom

a = 7.698 Å, b = 7.477 Å, c = 10.683 Å
α = 110.48°, β = 111.12°, γ = 90.00°
Positions (direct):
1 Na 0.000 0.250 0.000
2 Na 0.000 0.750 0.000
3 Cs 0.589 0.829 0.658
4 Cs 0.932 0.671 0.342
5 Cs 0.411 0.171 0.342
6 Cs 0.068 0.329 0.658
7 Tl 0.370 0.594 0.188
8 Tl 0.182 0.906 0.812
9 Tl 0.818 0.094 0.188
10 Tl 0.630 0.406 0.812
11 In 0.500 0.250 0.000
12 In 0.500 0.750 0.000


# Li2TiBe2

An optimized crystal structure of Li2TiBe2 (PBE, Alexandria via LeMat-Bulk).

Calculated values
magnetic moment = 0.00 μB/f.u.
ΔE to the lowest computed polymorph = 0.00 eV per formula unit

a = 3.338 Å, b = 3.338 Å, c = 6.273 Å
α = 74.57°, β = 74.57°, γ = 90.00°
Positions (direct):
1 Ti 0.000 0.000 0.000
2 Li 0.250 0.750 0.500
3 Li 0.750 0.250 0.500
4 Be 0.411 0.411 0.177
5 Be 0.589 0.589 0.823


# Pr6Ga3Te

An optimized crystal structure of Pr6Ga3Te (PBE, Alexandria via LeMat-Bulk).

Calculated values
magnetic moment = 0.52 μB/f.u.
uncorrected formation energy = -0.4914 eV per atom

a = 4.012 Å, b = 12.390 Å, c = 13.285 Å
α = 103.11°, β = 90.00°, γ = 90.00°
Each line ends with the local moment (μB).
Positions (direct):
1 Pr 0.250 0.213 0.249  0.01
2 Pr 0.250 0.607 0.940  0.00
3 Pr 0.250 0.523 0.381  0.02
4 Pr 0.750 0.920 0.101  0.02
5 Pr 0.750 0.393 0.060  0.00
6 Pr 0.750 0.118 0.463  0.11
7 Pr 0.250 0.259 0.710  0.05
8 Pr 0.250 0.080 0.899  0.02
9 Pr 0.750 0.477 0.619  0.02
10 Pr 0.750 0.787 0.751  0.01
11 Pr 0.750 0.741 0.290  0.05
12 Pr 0.250 0.882 0.537  0.11
13 Ga 0.250 0.567 0.166  0.00
14 Ga 0.750 0.155 0.077  0.00
15 Ga 0.250 0.312 0.489  0.00
16 Ga 0.750 0.688 0.511  0.00
17 Ga 0.250 0.845 0.923  0.00
18 Ga 0.750 0.433 0.834  0.00
19 Te 0.750 0.045 0.696  -0.01
20 Te 0.250 0.955 0.304  -0.01


# In3Au7

An optimized crystal structure of In3Au7 (PBE, Alexandria via LeMat-Bulk).

Calculated values
magnetic moment = 0.00 μB/f.u.
E_tot = -3.251 eV per atom

a = 8.832 Å, b = 12.410 Å, c = 12.410 Å
α = 120.00°, β = 90.00°, γ = 90.00°
Positions (direct):
1 Au 0.125 0.422 0.108
2 Au 0.125 0.892 0.314
3 Au 0.637 0.914 0.558
4 Au 0.086 0.241 0.207
5 Au 0.669 0.667 0.333
6 Au 0.500 0.000 0.000
7 Au 0.209 0.558 0.862
8 Au 0.167 0.667 0.333
9 Au 0.703 0.360 0.888
10 Au 0.363 0.558 0.645
11 Au 0.000 0.000 0.000
12 Au 0.703 0.529 0.640
13 Au 0.297 0.471 0.360
14 Au 0.573 0.223 0.992
15 Au 0.427 0.992 0.769
16 Au 0.703 0.112 0.471
17 Au 0.331 0.333 0.667
18 Au 0.086 0.965 0.759
19 Au 0.875 0.108 0.686
20 Au 0.297 0.888 0.529
21 Au 0.875 0.314 0.422
22 Au 0.363 0.086 0.442
23 Au 0.363 0.355 0.914
24 Au 0.914 0.207 0.965
25 Au 0.209 0.138 0.696
26 Au 0.427 0.777 0.008
27 Au 0.573 0.769 0.777
28 Au 0.875 0.578 0.892
29 Au 0.125 0.686 0.578
30 Au 0.914 0.035 0.241
31 Au 0.637 0.442 0.355
32 Au 0.637 0.645 0.086
33 Au 0.427 0.231 0.223
34 Au 0.086 0.793 0.035
35 Au 0.573 0.008 0.231
36 Au 0.833 0.333 0.667
37 Au 0.297 0.640 0.112
38 Au 0.791 0.862 0.304
39 Au 0.791 0.696 0.558
40 Au 0.914 0.759 0.793
41 Au 0.209 0.304 0.442
42 Au 0.791 0.442 0.138
43 In 0.039 0.504 0.645
44 In 0.248 0.020 0.187
45 In 0.539 0.526 0.835
46 In 0.248 0.167 0.980
47 In 0.039 0.355 0.859
48 In 0.039 0.141 0.496
49 In 0.961 0.496 0.355
50 In 0.248 0.813 0.833
51 In 0.461 0.691 0.526
52 In 0.961 0.645 0.141
53 In 0.539 0.165 0.691
54 In 0.752 0.187 0.167
55 In 0.539 0.309 0.474
56 In 0.961 0.859 0.504
57 In 0.461 0.835 0.309
58 In 0.752 0.833 0.020
59 In 0.461 0.474 0.165
60 In 0.752 0.980 0.813


# Pu2I3

An optimized crystal structure of Pu2I3 (PBE, Alexandria via LeMat-Bulk).

Calculated values
magnetic moment = 13.00 μB/f.u.
ΔE to the lowest computed polymorph = 0.00 eV per formula unit
uncorrected formation energy = -0.7999 eV per atom

a = 8.908 Å, b = 7.793 Å, c = 8.142 Å
α = 71.78°, β = 56.84°, γ = 55.14°
Each line ends with the local moment (μB).
Positions (direct):
1 I 0.611 0.121 0.623  -0.04
2 I 0.984 0.621 0.877  -0.04
3 I 0.131 0.000 0.000  -0.04
4 I 0.482 0.379 0.123  -0.04
5 I 0.881 0.500 0.500  -0.04
6 I 0.355 0.879 0.377  -0.04
7 Pu 0.411 0.590 0.740  5.94
8 Pu 0.901 0.090 0.760  5.94
9 Pu 0.751 0.910 0.240  5.94
10 Pu 0.741 0.410 0.260  5.94


# Ba8GePt3Br4

An optimized crystal structure of Ba8GePt3Br4 (PBE, Alexandria via LeMat-Bulk).

Calculated values
magnetic moment = 0.00 μB/f.u.
uncorrected formation energy = -1.2524 eV per atom

a = 9.298 Å, b = 9.828 Å, c = 9.297 Å
α = 118.24°, β = 120.00°, γ = 90.00°
Positions (direct):
1 Ba 0.760 0.290 0.521
2 Ba 0.760 0.290 0.030
3 Ba 0.259 0.277 0.518
4 Ba 0.741 0.723 0.482
5 Ba 0.240 0.710 0.479
6 Ba 0.269 0.290 0.030
7 Ba 0.240 0.710 0.970
8 Ba 0.731 0.710 0.970
9 Ge 0.000 0.500 0.000
10 Br 0.000 0.000 0.500
11 Br 0.500 0.000 0.000
12 Br 0.500 0.000 0.500
13 Br 0.000 0.000 0.000
14 Pt 0.000 0.500 0.500
15 Pt 0.500 0.500 0.000
16 Pt 0.500 0.500 0.500


# SmZn2Cu5

An optimized crystal structure of SmZn2Cu5 (PBE, Alexandria via LeMat-Bulk).

Calculated values
magnetic moment = 0.00 μB/f.u.
E_tot = -3.554 eV per atom

a = 3.766 Å, b = 6.287 Å, c = 6.287 Å
α = 65.53°, β = 72.57°, γ = 72.57°
Positions (direct):
1 Cu 0.629 0.556 0.187
2 Cu 0.629 0.187 0.556
3 Cu 0.371 0.813 0.444
4 Cu 0.371 0.444 0.813
5 Cu 0.000 0.500 0.500
6 Zn 0.749 0.751 0.751
7 Zn 0.251 0.249 0.249
8 Sm 0.000 0.000 0.000


# TlCdPb

An optimized crystal structure of TlCdPb (PBE, Alexandria via LeMat-Bulk).

Calculated values
magnetic moment = 0.00 μB/f.u.
ΔE to the lowest computed polymorph = 0.00 eV per formula unit

a = 5.850 Å, b = 6.193 Å, c = 6.221 Å
α = 76.89°, β = 61.96°, γ = 61.82°
Positions (direct):
1 Tl 0.153 0.695 0.998
2 Tl 0.847 0.305 0.002
3 Pb 0.344 0.002 0.309
4 Pb 0.656 0.998 0.691
5 Cd 0.750 0.500 0.500
6 Cd 0.250 0.500 0.500


# La2PrOs

An optimized crystal structure of La2PrOs (PBE, Alexandria via LeMat-Bulk).

Calculated values
magnetic moment = 0.00 μB/f.u.
ΔE to the lowest computed polymorph = 0.68 eV per formula unit

a = 3.545 Å, b = 3.545 Å, c = 9.956 Å
α = 90.00°, β = 90.00°, γ = 90.00°
Positions (direct):
1 Pr 0.500 0.500 0.500
2 La 0.000 0.000 0.826
3 La 0.000 0.000 0.174
4 Os 0.500 0.500 0.000


# CrMoAs2

An optimized crystal structure of CrMoAs2 (PBE, Alexandria via LeMat-Bulk).

Calculated values
magnetic moment = 0.00 μB/f.u.
ΔE to the lowest computed polymorph = 1.04 eV per formula unit

a = 4.337 Å, b = 4.337 Å, c = 4.337 Å
α = 60.00°, β = 60.00°, γ = 60.00°
Positions (direct):
1 Mo 0.500 0.500 0.500
2 Cr 0.000 0.000 0.000
3 As 0.750 0.750 0.750
4 As 0.250 0.250 0.250


# NiP

An optimized crystal structure of NiP (PBE, Alexandria via LeMat-Bulk).

Calculated values
magnetic moment = 0.00 μB/f.u.
E_tot = -5.701 eV per atom

a = 3.564 Å, b = 3.564 Å, c = 3.564 Å
α = 60.00°, β = 60.00°, γ = 60.00°
Positions (direct):
1 Ni 0.000 0.000 0.000
2 P 0.250 0.250 0.250


# Tm5AlAg4

An optimized crystal structure of Tm5AlAg4 (PBE, Alexandria via LeMat-Bulk).

Calculated values
magnetic moment = 0.00 μB/f.u.
E_tot = -4.101 eV per atom

a = 3.555 Å, b = 3.555 Å, c = 18.170 Å
α = 90.00°, β = 90.00°, γ = 90.00°
Positions (direct):
1 Tm 0.500 0.500 0.701
2 Tm 0.500 0.500 0.299
3 Tm 0.500 0.500 0.900
4 Tm 0.500 0.500 0.100
5 Tm 0.500 0.500 0.500
6 Al 0.000 0.000 0.000
7 Ag 0.000 0.000 0.599
8 Ag 0.000 0.000 0.198
9 Ag 0.000 0.000 0.401
10 Ag 0.000 0.000 0.802